The following is a GGA+U calculation of crystalline Ac2LaVO6 at its relaxed geometry, from the Alexandria database.

abc: 5.9536 6.1178 10.3791
angles: 90.00 123.86 90.00
Sites, in units of the cell vectors:
Ac  0.2336  0.0500  0.2495
Ac  0.2336  0.4500  0.7495
Ac  0.7664  0.5500  0.2505
Ac  0.7664  0.9500  0.7505
La  0.5000  0.0000  0.0000
La  0.5000  0.5000  0.5000
V  0.0000  0.0000  0.5000
V  0.0000  0.5000  0.0000
O  0.1185  0.2194  0.9378
O  0.1185  0.2806  0.4378
O  0.2219  0.6872  0.9432
O  0.2219  0.8128  0.4432
O  0.3432  0.0442  0.7325
O  0.3432  0.4558  0.2325
O  0.6568  0.5442  0.7675
O  0.6568  0.9558  0.2675
O  0.7781  0.1872  0.5568
O  0.7781  0.3128  0.0568
O  0.8815  0.7194  0.5622
O  0.8815  0.7806  0.0622

Values from the calculation:
The total energy is -8.043 eV per atom.

=====

The following is a GGA+U calculation of crystalline Ac2LaWO8 at its relaxed geometry, from the Alexandria database.

abc: 4.5191 7.4551 5.6531
angles: 90.00 94.59 90.00
Sites, in units of the cell vectors:
Ac  0.0000  0.2429  0.0000
Ac  0.0000  0.7571  0.0000
La  0.5000  0.5000  0.5000
W  0.5000  0.0000  0.5000
O  0.0622  0.5000  0.2501
O  0.1019  0.0000  0.3369
O  0.4341  0.1962  0.7261
O  0.4341  0.8038  0.7261
O  0.5659  0.1962  0.2739
O  0.5659  0.8038  0.2739
O  0.8981  0.0000  0.6631
O  0.9378  0.5000  0.7499

Values from the calculation:
The total energy is -7.733 eV per atom.

=====

Copy entry 2 word for word.
The following is a GGA+U calculation of crystalline Ac2LaWO8 at its relaxed geometry, from the Alexandria database.

abc: 4.5191 7.4551 5.6531
angles: 90.00 94.59 90.00
Sites, in units of the cell vectors:
Ac  0.0000  0.2429  0.0000
Ac  0.0000  0.7571  0.0000
La  0.5000  0.5000  0.5000
W  0.5000  0.0000  0.5000
O  0.0622  0.5000  0.2501
O  0.1019  0.0000  0.3369
O  0.4341  0.1962  0.7261
O  0.4341  0.8038  0.7261
O  0.5659  0.1962  0.2739
O  0.5659  0.8038  0.2739
O  0.8981  0.0000  0.6631
O  0.9378  0.5000  0.7499

Values from the calculation:
The total energy is -7.733 eV per atom.